## Ba2InHRh (PBE)

Data for a geometry-optimized Ba2InHRh structure. Values from VASP.

- energy above the lowest structure with this stoichiometry (eV per atom) = 0.138

```
&SYSTEM
  ibrav = 0, nat = 5, ntyp = 4
/
ATOMIC_SPECIES
Ba 137.33 Ba.upf
In 114.82 In.upf
H 1.01 H.upf
Rh 102.91 Rh.upf
ATOMIC_POSITIONS crystal
Ba 0.000 0.500 0.000
Ba 0.500 0.000 0.000
In 0.500 0.500 0.500
H 0.000 0.000 0.000
Rh 0.000 0.000 0.500
CELL_PARAMETERS angstrom
-5.832 -0.858 -0.627
0.718 -0.601 -5.853
0.496 -3.693 0.440
```